(1)
! GGA-PBEsol NaSn2AsH, relaxed; values from VASP
&SYSTEM
  ibrav = 0, nat = 5, ntyp = 4
/
ATOMIC_SPECIES
Na 22.99 Na.upf
Sn 118.71 Sn.upf
As 74.92 As.upf
H 1.01 H.upf
ATOMIC_POSITIONS crystal
Na 0.000 0.000 0.000
Sn 0.000 0.500 0.000
Sn 0.500 0.000 0.000
As 0.500 0.500 0.500
H 0.000 0.000 0.500
CELL_PARAMETERS angstrom
5.590 0.000 0.000
0.000 5.590 0.000
0.000 0.000 3.484
! SG ... P4/mmm
! DOS(E_F) ... 0.587 states/eV/atom
! Final energy ... -15.0 eV per formula unit
! Size of the total moment ... 0.000 μB per formula unit
! Density ... 5.1 g/cm3

(2)
! GGA-PBEsol Nb3AsH, relaxed; values from VASP
&SYSTEM
  ibrav = 0, nat = 5, ntyp = 3
/
ATOMIC_SPECIES
Nb 92.91 Nb.upf
As 74.92 As.upf
H 1.01 H.upf
ATOMIC_POSITIONS crystal
Nb 0.000 0.000 0.500
Nb 0.000 0.500 0.000
Nb 0.500 0.000 0.000
As 0.500 0.500 0.500
H 0.000 0.000 0.000
CELL_PARAMETERS angstrom
4.101 0.000 0.000
0.000 4.101 0.000
0.000 0.000 4.101
! SG ... Pm-3m
! DOS(E_F) ... 0.554 states/eV/atom
! Final energy ... -42.0 eV per formula unit
! Size of the total moment ... 0.000 μB per formula unit
! Density ... 8.5 g/cm3